Record 1
VASP calculation (PBE-GGA) on Tm2TlRu after structural relaxation.

Geometry as CIF:
```
data_Tm2TlRu
_chemical_formula_sum 'Tm6 Tl3 Ru3'
_symmetry_space_group_name_H-M 'R -3 m'
_symmetry_Int_Tables_number 166
_symmetry_space_group_name_Hall '-R 3 2"'
_cell_length_a 3.5346
_cell_length_b 3.5346
_cell_length_c 27.0053
_cell_angle_alpha 90.00
_cell_angle_beta 90.00
_cell_angle_gamma 120.00
loop_
_atom_site_label
_atom_site_type_symbol
_atom_site_fract_x
_atom_site_fract_y
_atom_site_fract_z
Tm1 Tm 0.0000 0.0000 0.2358
Tl1 Tl 0.0000 0.0000 0.0000
Ru1 Ru 0.0000 0.0000 0.5000
```

***

Record 2
VASP calculation (PBE-GGA) on YTcAu2 after structural relaxation.

Geometry as CIF:
```
data_YTcAu2
_chemical_formula_sum 'Y2 Tc2 Au4'
_symmetry_space_group_name_H-M 'I 4/m m m'
_symmetry_Int_Tables_number 139
_symmetry_space_group_name_Hall '-I 4 2'
_cell_length_a 4.2465
_cell_length_b 4.2465
_cell_length_c 8.5646
_cell_angle_alpha 90.00
_cell_angle_beta 90.00
_cell_angle_gamma 90.00
loop_
_atom_site_label
_atom_site_type_symbol
_atom_site_fract_x
_atom_site_fract_y
_atom_site_fract_z
Y1 Y 0.0000 0.0000 0.0000
Tc1 Tc 0.0000 0.0000 0.5000
Au1 Au 0.0000 0.5000 0.2500
```

***

no.,DFT formation energy (eV per atom),Fermi-level density of states (states/eV per cell)
1,-0.252,7.73
2,-0.119,7.48